# 1
Material: CaLaCuNi
Method: DFT, PBE
State: relaxed

Calculated values
E above lowest polymorph = 0.33 eV per formula unit
Fermi-level density of states = 17.4 states/eV per cell
Calculated formation energy = -133 meV/atom

Cell lengths 7.0862, 7.0862, 7.0862 Å; angles 90.00, 90.00, 90.00 degrees
With the nearest neighbours (Å) after each atom.
Space group F-43m (No. 216)
Symmetry-distinct sites (fractional):
Ca 0.0000 0.0000 0.0000  4 Cu 3.07, 4 Ni 3.07
La 0.0000 0.0000 0.5000  4 Ni 3.07, 4 Cu 3.07
Cu 0.2500 0.2500 0.7500  4 La 3.07, 4 Ca 3.07
Ni 0.2500 0.2500 0.2500  4 Ca 3.07, 4 La 3.07

# 2
Material: CdCu2Tc
Method: DFT, PBE
State: relaxed

Calculated values
Fermi-level density of states = 2.8 states/eV per cell
Calculated formation energy = 383 meV/atom

Cell lengths 3.9925, 3.9925, 3.6894 Å; angles 90.00, 90.00, 90.00 degrees
With the nearest neighbours (Å) after each atom.
Space group P4/mmm (No. 123)
Symmetry-distinct sites (fractional):
Cd 0.0000 0.0000 0.0000  8 Cu 2.72, 4 Tc 2.82
Cu 0.0000 0.5000 0.5000  4 Cd 2.72, 4 Tc 2.72, 4 Cu 2.82
Tc 0.5000 0.5000 0.0000  8 Cu 2.72, 4 Cd 2.82

Look up the Fermi-level density of states of the second one.
2.8 states/eV per cell

Which value of Fermi-level density of states does entry 1 give?
17.4 states/eV per cell